# 1
Computed, not measured: crystalline CsHfTlS3 at its relaxed geometry at the PBE level of DFT.

Lattice parameters (Å, degrees): 8.1380 3.8382 10.8762 90.00 97.21 90.00
Positions (direct):
Cs 0.2463 0.2500 0.4714
Cs 0.7537 0.7500 0.5286
Hf 0.4139 0.7500 0.8434
Hf 0.5861 0.2500 0.1566
Tl 0.0315 0.7500 0.1425
Tl 0.9685 0.2500 0.8575
S 0.1432 0.7500 0.7141
S 0.3231 0.2500 0.9835
S 0.4577 0.7500 0.2695
S 0.5423 0.2500 0.7305
S 0.6769 0.7500 0.0165
S 0.8568 0.2500 0.2859

Values from the calculation:
Its crystal system is monoclinic. The energy above the most stable polymorph in this dataset comes out at 20.6 meV/atom. Its space group is No. 11. The mass density is 6.030 g/cm3.


# 2
Computed, not measured: crystalline CsHfSc at its relaxed geometry at the PBE level of DFT.

Lattice parameters (Å, degrees): 5.4516 5.4516 5.4516 60.00 60.00 60.00
Positions (direct):
Cs 0.0000 0.0000 0.0000
Hf 0.2500 0.2500 0.2500
Sc 0.5000 0.5000 0.5000

Values from the calculation:
Its crystal system is cubic. The energy above the most stable polymorph in this dataset comes out at 0.0 meV/atom. Its space group is No. 216. The mass density is 5.165 g/cm3.